(1)
# Ca5As3ClO12

A geometry-optimized Ca5As3ClO12 structure (PBEsol, Alexandria).

abc: 10.1440 10.1440 6.7352
angles: 90.00 90.00 120.00
Closest atoms and distances in Å follow each position.
Space group P6_3 (No. 173)
One atom of each set of equivalent atoms:
Ca 0.0290 0.7560 0.0000  5 O 2.31-2.51
Ca 0.3333 0.6667 0.2532  6 O 2.34-2.41
Ca 0.3333 0.6667 0.7439  6 O 2.37-2.44
As 0.0302 0.4112 0.9968  4 O 1.69-1.73
Cl 0.0000 0.0000 0.3864  3 Ca 2.74
O 0.0854 0.3443 0.1952  1 As 1.71
O 0.0928 0.3564 0.7938  1 As 1.71
O 0.1425 0.6072 0.0021  1 As 1.73
O 0.1569 0.6422 0.4958  1 As 1.69

D(E_F), states/eV/f.u.: 0.000
Total magnetization, μB per formula unit: 0.0
Energy relative to the elements, uncorrected, meV/atom: -2332



(2)
# Ca2As3Pb3ClO12

A geometry-optimized Ca2As3Pb3ClO12 structure (PBEsol, Alexandria).

abc: 10.2244 10.2244 7.0642
angles: 90.00 90.00 120.00
Closest atoms and distances in Å follow each position.
Space group P6_3/m (No. 176)
One atom of each set of equivalent atoms:
Ca 0.3333 0.6667 0.0061  6 O 2.40-2.49
As 0.0305 0.4227 0.7500  4 O 1.69-1.74
Pb 0.0262 0.7662 0.7500  5 O 2.39-2.59
Cl 0.0000 0.0000 0.0000  6 Pb 3.09, 6 O 3.39
O 0.0900 0.3644 0.5570  1 As 1.72
O 0.1469 0.6175 0.7500  1 As 1.74
O 0.1556 0.6314 0.2500  1 As 1.69

D(E_F), states/eV/f.u.: 0.000
Total magnetization, μB per formula unit: 0.0
Energy relative to the elements, uncorrected, meV/atom: -1728



(3)
# CaAs2PCl

A geometry-optimized CaAs2PCl structure (PBEsol, Alexandria).

abc: 4.6148 4.6148 5.7240
angles: 90.00 90.00 90.00
Closest atoms and distances in Å follow each position.
Space group P4/mmm (No. 123)
One atom of each set of equivalent atoms:
Ca 0.0000 0.0000 0.0000  2 P 2.86
As 0.0000 0.5000 0.5000  2 P 2.31
P 0.0000 0.0000 0.5000  4 As 2.31
Cl 0.5000 0.5000 0.0000  4 Ca 3.26

D(E_F), states/eV/f.u.: 1.380
Total magnetization, μB per formula unit: 0.0
Energy relative to the elements, uncorrected, meV/atom: -273



(4)
# CaCoAs2

A geometry-optimized CaCoAs2 structure (PBEsol, Alexandria).

abc: 3.9033 3.9033 9.0052
angles: 90.00 90.00 90.00
Closest atoms and distances in Å follow each position.
Space group I-4m2 (No. 119)
One atom of each set of equivalent atoms:
Ca 0.0000 0.0000 0.0000  8 As 2.76-2.98, 4 Co 2.98
Co 0.0000 0.5000 0.2500  8 As 2.76-2.98, 4 Ca 2.98
As 0.0000 0.0000 0.5000  4 Ca 2.76, 4 As 2.98, 4 Co 2.98
As 0.0000 0.5000 0.7500  4 Co 2.76, 4 As 2.98, 4 Ca 2.98

Electronic total energy, eV/atom: -5.10
D(E_F), states/eV/f.u.: 4.932
Total magnetization, μB per formula unit: 0.9



(5)
# Ca3Co3As4O16

A geometry-optimized Ca3Co3As4O16 structure (PBEsol, Alexandria).

abc: 8.9782 5.0796 16.9094
angles: 90.00 116.20 90.00
Closest atoms and distances in Å follow each position.
Space group P2_1/c (No. 14)
One atom of each set of equivalent atoms:
Ca 0.0000 0.0000 0.0000  6 O 2.27-2.43
Ca 0.3048 0.0351 0.2694  4 O 2.29-2.47
Co 0.2115 0.5439 0.3787  4 O 1.94-2.10
Co 0.5000 0.0000 0.5000  4 O 1.93-2.01
As 0.0414 0.5228 0.1562  4 O 1.68-1.74
As 0.4381 0.5216 0.5973  4 O 1.68-1.76
O 0.0256 0.6378 0.6430  1 As 1.74
O 0.1047 0.1350 0.5891  1 As 1.68
O 0.1460 0.5910 0.8512  1 As 1.73
O 0.1949 0.0378 0.7619  1 As 1.74
O 0.2548 0.5592 0.5051  1 As 1.71
O 0.4133 0.2154 0.9166  1 As 1.76, 1 Co 1.93
O 0.4320 0.6345 0.6893  1 As 1.68
O 0.4777 0.7120 0.8947  1 As 1.72

D(E_F), states/eV/f.u.: 7.522
Total magnetization, μB per formula unit: 9.0
Energy relative to the elements, uncorrected, meV/atom: -1583



(6)
# CaCoAsO5

A geometry-optimized CaCoAsO5 structure (PBEsol, Alexandria).

abc: 5.7661 7.5415 8.7101
angles: 90.00 90.00 90.00
Closest atoms and distances in Å follow each position.
Space group P2_12_12_1 (No. 19)
One atom of each set of equivalent atoms:
Ca 0.0288 0.1437 0.1649  6 O 2.34-2.56
Co 0.2445 0.2562 0.5033  2 O 1.78
As 0.0164 0.6127 0.6955  4 O 1.70-1.73
O 0.0010 0.1355 0.4330  2 Co 1.78
O 0.0127 0.9304 0.9231  1 As 1.73
O 0.0823 0.7816 0.5734  1 As 1.70
O 0.2415 0.4014 0.3118  1 As 1.73
O 0.2455 0.1380 0.7105  1 As 1.73

D(E_F), states/eV/f.u.: 3.957
Total magnetization, μB per formula unit: 2.0
Energy relative to the elements, uncorrected, meV/atom: -1664



(7)
# CaCoAsSe2

A geometry-optimized CaCoAsSe2 structure (PBEsol, Alexandria).

abc: 4.9671 4.9671 4.2354
angles: 90.00 90.00 90.00
Closest atoms and distances in Å follow each position.
Space group P4/mmm (No. 123)
One atom of each set of equivalent atoms:
Ca 0.0000 0.0000 0.0000  8 Se 3.26, 4 As 3.51
Co 0.5000 0.5000 0.5000  2 As 2.12
As 0.5000 0.5000 0.0000  2 Co 2.12
Se 0.0000 0.5000 0.5000  2 Co 2.48

D(E_F), states/eV/f.u.: 4.495
Total magnetization, μB per formula unit: 0.0
Energy relative to the elements, uncorrected, meV/atom: -480



(8)
# CaCoAs2Se

A geometry-optimized CaCoAs2Se structure (PBEsol, Alexandria).

abc: 4.4160 4.4160 5.3265
angles: 90.00 90.00 90.00
Closest atoms and distances in Å follow each position.
Space group P4/mmm (No. 123)
One atom of each set of equivalent atoms:
Ca 0.0000 0.0000 0.0000  4 Se 3.12, 8 As 3.46
Co 0.5000 0.5000 0.5000  4 As 2.21
As 0.0000 0.5000 0.5000  2 Co 2.21
Se 0.5000 0.5000 0.0000  2 Co 2.66

D(E_F), states/eV/f.u.: 4.101
Total magnetization, μB per formula unit: 0.7
Energy relative to the elements, uncorrected, meV/atom: -349



- Which of these has the highest D(E_F)?
  Ca3Co3As4O16